Ca2TaBr | PBEsol | optimized geometry

Lattice parameters (Å, degrees): 3.4400 3.4400 28.4166 90.00 90.00 120.00
With the nearest neighbours (Å) after each atom.
Space group R-3m (No. 166, hexagonal axes)
Symmetry-distinct sites (fractional):
Ca (0.0000, 0.0000, 0.2468) (multiplicity 6)  3 Br 3.02, 3 Ta 3.16
Ta (0.0000, 0.0000, 0.0000) (multiplicity 3)  6 Ca 3.16, 6 Ta 3.44
Br (0.0000, 0.0000, 0.5000) (multiplicity 3)  6 Ca 3.02

Results
Calculated total energy, eV per atom: -4.839
Formation energy without anion corrections, eV per formula unit: -0.67
Offset from the most stable computed form, eV/f.u.: 0.00
Size of the total moment, μB per cell: 0.0